Entry 1:
# K3AsP

A relaxed K3AsP crystal (PBE-GGA, Alexandria via LeMat-Bulk).

abc: 6.1540 6.1540 6.1540
angles: 90.00 90.00 90.00
Last column: nearest neighbours and their distance in Å.
Positions (direct):
K (0.0000, 0.0000, 0.5000)  2 P 3.08
K (0.0000, 0.5000, 0.0000)  2 P 3.08
K (0.5000, 0.0000, 0.0000)  2 P 3.08
As (0.5000, 0.5000, 0.5000)  12 K 4.35
P (0.0000, 0.0000, 0.0000)  6 K 3.08

Computed properties:
For the total energy, the calculation gives -2.4613 eV/atom. Its energy relative to the lowest polymorph listed for this composition is 0.000 eV per atom. Its energy of formation from the pure elements is 0.21 eV per atom. The magnetization comes out at 3.0 Bohr magnetons per cell. As for the space group: Pm-3m. For the calculated density, the calculation gives 1.6 Mg/m³. Its crystal system is cubic.

Entry 2:
# Ho2Sn5Ir3

A relaxed Ho2Sn5Ir3 crystal (PBE-GGA, Alexandria via LeMat-Bulk).

abc: 4.4109 7.2903 13.4697
angles: 90.00 99.42 90.00
Last column: nearest neighbours and their distance in Å.
Positions (direct):
Ir (0.6060, 0.5092, 0.2120)  6 Sn 2.69-2.88, 1 Ho 2.86
Sn (0.2913, 0.5045, 0.5825)  3 Ir 2.74-2.75
Ir (0.0494, 0.9774, 0.0987)  5 Sn 2.64-2.79
Ir (0.2234, 0.2201, 0.4467)  7 Sn 2.74-2.80
Sn (0.0474, 0.5946, 0.0948)  4 Ir 2.71-2.79
Sn (0.2947, 0.9370, 0.5894)  4 Ir 2.69-2.80
Ir (0.3940, 0.0092, 0.7880)  6 Sn 2.69-2.88, 1 Ho 2.86
Ir (0.7766, 0.7201, 0.5533)  7 Sn 2.74-2.80
Sn (0.7087, 0.0045, 0.4175)  3 Ir 2.74-2.75
Sn (0.7053, 0.4370, 0.4106)  4 Ir 2.69-2.80
Sn (0.4025, 0.3821, 0.8050)  3 Ir 2.64-2.73
Sn (0.9526, 0.0946, 0.9052)  4 Ir 2.71-2.79
Ho (0.1713, 0.7235, 0.3427)  7 Sn 3.17-3.43, 2 Ir 3.21
Ho (0.8287, 0.2235, 0.6573)  7 Sn 3.17-3.43, 2 Ir 3.21
Sn (0.8799, 0.7596, 0.7599)  4 Ir 2.76-2.88
Ho (0.5236, 0.2567, 0.0473)  3 Ir 2.86-3.08, 2 Sn 3.13
Ir (0.9506, 0.4774, 0.9013)  5 Sn 2.64-2.79
Ho (0.4764, 0.7567, 0.9527)  3 Ir 2.86-3.08, 2 Sn 3.13
Sn (0.1201, 0.2596, 0.2401)  4 Ir 2.76-2.88
Sn (0.5975, 0.8821, 0.1950)  3 Ir 2.64-2.73

Computed properties:
For the total energy, the calculation gives -6.1922 eV/atom. Its energy of formation from the pure elements is -0.62 eV per atom. The magnetization comes out at 0.0 Bohr magnetons per cell. As for the space group: Cmc2_1. For the calculated density, the calculation gives 11.7 Mg/m³. Its crystal system is orthorhombic.

Entry 3:
# Tm3Se3O2

A relaxed Tm3Se3O2 crystal (PBE-GGA, Alexandria via LeMat-Bulk).

abc: 3.7786 6.6670 12.9118
angles: 90.00 90.00 106.46
Last column: nearest neighbours and their distance in Å.
Positions (direct):
Se (0.9557, 0.9115, 0.1149)  6 Tm 3.05-3.25, 1 Se 3.18
Tm (0.6470, 0.2941, 0.4602)  3 O 2.16-2.26
Tm (0.6993, 0.3987, 0.7500)  2 O 2.35
O (0.2352, 0.4704, 0.0801)  4 Tm 2.16-2.35
O (0.7648, 0.5296, 0.5801)  4 Tm 2.16-2.35
Tm (0.3530, 0.7059, 0.9602)  3 O 2.16-2.26
Se (0.3519, 0.7037, 0.7500)  4 Tm 2.71-2.72
Tm (0.6470, 0.2941, 0.0398)  3 O 2.16-2.26
Se (0.0443, 0.0885, 0.8851)  6 Tm 3.05-3.25, 1 Se 3.18
O (0.2352, 0.4704, 0.4199)  4 Tm 2.16-2.35
Se (0.9557, 0.9115, 0.3851)  6 Tm 3.05-3.25, 1 Se 3.18
Se (0.0443, 0.0885, 0.6149)  6 Tm 3.05-3.25, 1 Se 3.18
Se (0.6481, 0.2963, 0.2500)  4 Tm 2.71-2.72
Tm (0.3530, 0.7059, 0.5398)  3 O 2.16-2.26
Tm (0.3007, 0.6013, 0.2500)  2 O 2.35
O (0.7648, 0.5296, 0.9199)  4 Tm 2.16-2.35

Computed properties:
For the total energy, the calculation gives -6.5978 eV/atom. The value obtained for the formation energy from raw total energies is -2.37 eV per atom. The magnetization comes out at 0.0 Bohr magnetons per cell. As for the space group: Cmcm. For the calculated density, the calculation gives 8.3 Mg/m³. Its crystal system is orthorhombic.

Entry 4:
# HoPuCdTc

A relaxed HoPuCdTc crystal (PBE-GGA, Alexandria via LeMat-Bulk).

abc: 5.0297 5.0297 5.0297
angles: 60.00 60.00 60.00
Last column: nearest neighbours and their distance in Å.
Positions (direct):
Tc (0.2500, 0.2500, 0.2500)  4 Ho 3.08, 4 Pu 3.08
Pu (0.5000, 0.5000, 0.5000)  4 Cd 3.08, 4 Tc 3.08
Ho (0.0000, 0.0000, 0.0000)  4 Cd 3.08, 4 Tc 3.08
Cd (0.7500, 0.7500, 0.7500)  4 Ho 3.08, 4 Pu 3.08

Computed properties:
For the total energy, the calculation gives -7.4602 eV/atom. Its energy of formation from the pure elements is 0.09 eV per atom. The magnetization comes out at 5.4 Bohr magnetons per cell. As for the space group: F-43m. For the calculated density, the calculation gives 11.4 Mg/m³. Its crystal system is cubic.